Below is a relaxed Na4Tl3ZnO8 crystal, with properties calculated at the GGA-PBE level.

The structure in CIF format:
```
data_Na4Tl3ZnO8
_chemical_formula_sum 'Na4 Tl3 Zn1 O8'
_cell_length_a 6.652
_cell_length_b 6.761
_cell_length_c 6.690
_cell_angle_alpha 119.54
_cell_angle_beta 119.81
_cell_angle_gamma 90.00
_symmetry_space_group_name_H-M 'P 1'
_symmetry_Int_Tables_number 1
_symmetry_space_group_name_Hall 'P 1'
loop_
_atom_site_label
_atom_site_fract_x
_atom_site_fract_y
_atom_site_fract_z
_atom_site_occupancy
Na1 0.500 0.000 0.000 1
Na2 0.500 0.000 0.500 1
Na3 0.000 0.000 0.000 1
Na4 0.000 0.000 0.500 1
Tl1 0.500 0.500 0.000 1
Tl2 0.500 0.500 0.500 1
Tl3 0.000 0.500 0.500 1
Zn1 0.000 0.500 0.000 1
O1 0.231 0.715 0.985 1
O2 0.238 0.721 0.475 1
O3 0.256 0.269 0.513 1
O4 0.755 0.715 0.985 1
O5 0.245 0.285 0.015 1
O6 0.744 0.731 0.487 1
O7 0.762 0.279 0.525 1
O8 0.769 0.285 0.015 1
```

Summary:
The value obtained for the uncorrected energy is -4.395 eV per atom. The calculation puts the formation energy from raw total energies at -1.063 eV per atom.